# 1
This record from Alexandria via LeMat-Bulk describes a relaxed Li2WBr crystal. The functional is PBEsol.

The energy above the most stable polymorph in this dataset is 3.891 eV/f.u. The calculation puts the calculated total energy at -3.77 eV per atom.

The space group is Fm-3m (No. 225) and the conventional cell measures 6.566, 6.566 and 6.566 Å, with angles of 90.00, 90.00 and 90.00 degrees. The distinct sites, in fractional coordinates, are Li at (0.250, 0.250, 0.250), W at (0.000, 0.000, 0.000) and Br at (0.000, 0.000, 0.500).

# 2
This record from Alexandria via LeMat-Bulk describes a relaxed LiY2Br crystal. The functional is PBEsol.

The energy above the most stable polymorph in this dataset is 0.000 eV/f.u. The calculation puts the calculated total energy at -4.81 eV per atom.

The space group is Amm2 (No. 38) and the conventional cell measures 3.990, 4.026 and 11.747 Å, with angles of 90.00, 90.00 and 90.00 degrees. The distinct sites, in fractional coordinates, are Li at (0.000, 0.000, 0.000), Y at (0.000, 0.000, 0.721), Y at (0.500, 0.000, 0.403) and Br at (0.500, 0.000, 0.140).

# 3
This record from Alexandria via LeMat-Bulk describes a relaxed LiY2Br crystal. The functional is PBEsol.

The energy above the most stable polymorph in this dataset is 0.396 eV/f.u. The calculation puts the calculated total energy at -4.71 eV per atom.

The space group is Cmmm (No. 65) and the conventional cell measures 3.714, 5.768 and 9.811 Å, with angles of 90.00, 90.00 and 90.00 degrees. The distinct sites, in fractional coordinates, are Li at (0.000, 0.000, 0.000), Y at (0.000, 0.500, 0.262) and Br at (0.000, 0.000, 0.500).